No. 1
Computed, not measured: crystalline Pu3Cu4Ge4 at its relaxed geometry at the PBE level of DFT.

POSCAR file:
```
Pu3Cu4Ge4
1.0
12.297 -2.105 0.000
12.297 2.105 0.000
-0.649 0.000 3.947
Pu Cu Ge
3 4 4
Cartesian
0.000 0.000 0.000
1.209 0.000 2.226
10.104 0.000 1.660
6.365 0.000 1.044
7.417 0.000 3.242
15.533 0.000 2.559
19.992 0.000 1.263
4.565 0.000 2.776
14.308 0.000 0.331
17.409 0.000 0.840
21.102 0.000 3.473
```

* SG: Cm
* crystal system: monoclinic

No. 2
Computed, not measured: crystalline PuCu2Ge at its relaxed geometry at the PBE level of DFT.

POSCAR file:
```
PuCu2Ge
1.0
0.000 3.249 3.249
3.249 0.000 3.249
3.249 3.249 0.000
Pu Cu Ge
1 2 1
Cartesian
0.000 0.000 0.000
1.624 1.624 1.624
4.873 4.873 4.873
3.249 3.249 3.249
```

* SG: Fm-3m
* crystal system: cubic

No. 3
Computed, not measured: crystalline Pu2Cu3Ge5 at its relaxed geometry at the PBE level of DFT.

POSCAR file:
```
Pu2Cu3Ge5
1.0
5.809 -5.994 0.000
5.809 5.994 0.000
-3.110 0.000 5.147
Pu Cu Ge
4 6 10
Cartesian
1.997 1.563 1.206
0.442 -1.563 3.780
8.067 1.563 1.367
6.512 -1.563 3.941
3.315 4.351 2.007
6.748 4.351 0.567
5.032 0.003 1.287
3.477 -0.003 3.860
1.761 -4.351 4.580
5.194 -4.351 3.141
5.032 5.994 1.287
3.477 -5.994 3.860
1.368 1.244 4.337
5.032 2.754 1.287
3.477 2.755 3.860
2.923 -1.244 1.764
5.586 1.244 3.383
5.032 -2.755 1.287
3.477 -2.754 3.860
7.141 -1.244 0.810
```

* SG: C2/c
* crystal system: monoclinic

No. 4
Computed, not measured: crystalline Pu2Cu3Ge2 at its relaxed geometry at the PBE level of DFT.

POSCAR file:
```
Pu2Cu3Ge2
1.0
5.607 -1.779 0.000
5.607 1.779 0.000
-3.893 0.000 5.638
Pu Cu Ge
2 3 2
Cartesian
0.643 0.000 2.072
6.677 0.000 3.566
4.466 0.000 0.369
3.660 0.000 2.819
2.854 0.000 5.268
-1.303 0.000 4.367
8.624 0.000 1.271
```

* SG: C2/m
* crystal system: monoclinic

No. 5
Computed, not measured: crystalline Pu2Cu2Ge3 at its relaxed geometry at the PBE level of DFT.

POSCAR file:
```
Pu2Cu2Ge3
1.0
2.163 -9.114 0.000
2.163 9.114 0.000
0.000 0.000 6.710
Pu Cu Ge
4 4 6
Cartesian
2.163 8.253 5.033
2.163 6.253 1.678
2.163 -6.253 5.033
2.163 -8.253 1.678
2.163 3.498 0.419
2.163 3.498 2.936
2.163 -3.498 3.774
2.163 -3.498 6.291
2.163 5.072 5.033
2.163 1.189 3.767
2.163 1.189 6.298
2.163 -1.189 0.412
2.163 -1.189 2.943
2.163 -5.072 1.678
```

* SG: Cmcm
* crystal system: orthorhombic

No. 6
Computed, not measured: crystalline Pu2CuGe3 at its relaxed geometry at the PBE level of DFT.

POSCAR file:
```
Pu2CuGe3
1.0
0.000 4.206 7.277
4.043 0.000 7.277
4.043 4.206 0.000
Pu Cu Ge
4 2 6
Cartesian
6.129 4.206 7.277
2.021 2.103 3.638
6.064 6.309 10.915
1.957 4.206 7.277
4.043 4.206 4.859
4.043 4.206 9.695
4.043 4.206 2.494
4.043 2.172 6.035
4.043 2.172 8.519
4.043 6.239 6.035
4.043 6.239 8.519
4.043 4.206 12.060
```

* SG: Fmmm
* crystal system: orthorhombic
* excess energy over the best structure of this formula in the dataset: 0.000 eV per atom

No. 7
Computed, not measured: crystalline Pu2CuGe3 at its relaxed geometry at the PBE level of DFT.

POSCAR file:
```
Pu2CuGe3
1.0
4.043 0.000 0.000
0.000 4.221 0.000
0.000 0.000 7.268
Pu Cu Ge
2 1 3
Cartesian
0.000 0.000 0.000
0.000 2.111 3.552
2.022 2.111 5.960
2.022 0.000 2.420
2.022 0.000 4.921
2.022 2.111 1.063
```

* SG: Pmm2
* crystal system: orthorhombic
* excess energy over the best structure of this formula in the dataset: 0.024 eV per atom

No. 8
Computed, not measured: crystalline Pu3Cu2Ge4 at its relaxed geometry at the PBE level of DFT.

POSCAR file:
```
Pu3Cu2Ge4
1.0
5.379 -2.120 0.000
5.379 2.120 0.000
-1.985 0.000 8.020
Pu Cu Ge
3 2 4
Cartesian
0.000 0.000 0.000
3.009 0.000 2.644
5.763 0.000 5.375
2.718 0.000 5.711
6.054 0.000 2.309
-0.065 0.000 3.135
1.230 0.000 7.559
7.542 0.000 0.461
8.837 0.000 4.885
```

* SG: C2/m
* crystal system: monoclinic

No. 9
Computed, not measured: crystalline Pu3Cu2Ge3 at its relaxed geometry at the PBE level of DFT.

POSCAR file:
```
Pu3Cu2Ge3
1.0
2.160 -5.184 0.000
2.160 5.184 0.000
0.000 0.000 14.260
Pu Cu Ge
6 4 6
Cartesian
2.160 4.282 8.762
2.160 4.282 12.628
2.160 1.257 10.695
2.160 -1.257 3.565
2.160 -4.282 1.632
2.160 -4.282 5.498
2.160 3.037 1.330
2.160 3.037 5.800
2.160 -3.037 8.460
2.160 -3.037 12.930
2.160 1.825 3.565
2.160 1.195 7.670
2.160 1.195 13.719
2.160 -1.195 0.540
2.160 -1.195 6.589
2.160 -1.825 10.695
```

* SG: Cmcm
* crystal system: orthorhombic

No. 10
Computed, not measured: crystalline Pu2Cu15Ge2 at its relaxed geometry at the PBE level of DFT.

POSCAR file:
```
Pu2Cu15Ge2
1.0
4.364 2.520 4.146
-4.364 2.520 4.146
0.000 -5.040 4.146
Pu Cu Ge
2 15 2
Cartesian
0.000 0.000 1.889
0.000 0.000 10.550
-2.182 -1.260 4.146
0.000 -2.526 4.036
-2.187 1.263 4.036
-1.352 -2.342 6.219
-2.704 0.000 6.219
-2.187 -1.263 8.402
-2.182 1.260 8.292
1.352 -2.342 6.219
0.000 2.520 4.146
-1.352 2.342 6.219
2.187 1.263 4.036
2.704 0.000 6.219
1.352 2.342 6.219
2.187 -1.263 8.402
0.000 2.526 8.402
0.000 0.000 4.955
0.000 0.000 7.484
```

* SG: R-3m
* crystal system: trigonal

No. 11
Computed, not measured: crystalline Pu2Cu3Ge4 at its relaxed geometry at the PBE level of DFT.

POSCAR file:
```
Pu2Cu3Ge4
1.0
2.841 -7.345 0.000
2.841 7.345 0.000
0.000 0.000 7.532
Pu Cu Ge
4 6 8
Cartesian
2.841 5.755 6.853
2.841 1.590 3.087
2.841 -1.590 4.445
2.841 -5.755 0.679
0.000 0.000 3.766
1.421 3.273 5.649
1.421 -3.273 1.883
2.841 0.000 0.000
4.262 3.273 5.649
4.262 -3.273 1.883
2.841 4.682 3.979
1.421 0.826 5.649
1.421 -0.826 1.883
2.841 2.663 0.214
2.841 -2.663 7.318
4.262 0.826 5.649
4.262 -0.826 1.883
2.841 -4.682 3.552
```

* SG: Cmce
* crystal system: orthorhombic

No. 12
Computed, not measured: crystalline Pu2Cu2Ge at its relaxed geometry at the PBE level of DFT.

POSCAR file:
```
Pu2Cu2Ge
1.0
-1.741 1.741 8.419
1.741 -1.741 8.419
1.741 1.741 -8.419
Pu Cu Ge
2 2 1
Cartesian
0.000 0.000 1.733
0.000 0.000 15.105
1.741 0.000 4.209
0.000 1.741 4.209
0.000 0.000 8.419
```

* SG: I4/mmm
* crystal system: tetragonal
* excess energy over the best structure of this formula in the dataset: 0.078 eV per atom

Number 1: total DFT energy (no corrections) -78.10 eV/cell, size of the total moment 5.46 μB/cell. Number 2: total DFT energy (no corrections) -27.35 eV/cell, size of the total moment 5.27 μB/cell. Number 3: total DFT energy (no corrections) -133.42 eV/cell, size of the total moment 22.07 μB/cell. Number 4: total DFT energy (no corrections) -50.35 eV/cell, size of the total moment 1.03 μB/cell. Number 5: total DFT energy (no corrections) -106.39 eV/cell, size of the total moment 21.22 μB/cell. Number 6: total DFT energy (no corrections) -97.60 eV/cell, size of the total moment 22.32 μB/cell. Number 7: total DFT energy (no corrections) -48.65 eV/cell, size of the total moment 0.03 μB/cell. Number 8: total DFT energy (no corrections) -72.92 eV/cell, size of the total moment 16.07 μB/cell. Number 9: total DFT energy (no corrections) -136.10 eV/cell, size of the total moment 32.92 μB/cell. Number 10: total DFT energy (no corrections) -99.64 eV/cell, size of the total moment 11.54 μB/cell. Number 11: total DFT energy (no corrections) -123.79 eV/cell, size of the total moment 21.44 μB/cell. Number 12: total DFT energy (no corrections) -41.72 eV/cell, size of the total moment 11.42 μB/cell.